# CdB2Cl8

A geometry-optimized CdB2Cl8 structure (PBE, the Alexandria database).

Lattice parameters (Å, degrees): 9.5534 9.5534 10.6177 120.63 120.63 55.60
Sites, in units of the cell vectors:
Cd (0.0044, 0.9956, 0.7500)
Cd (0.9956, 0.0044, 0.2500)
B (0.1437, 0.6731, 0.4504)
B (0.3269, 0.8563, 0.0496)
B (0.6731, 0.1437, 0.9504)
B (0.8563, 0.3269, 0.5496)
Cl (0.0828, 0.2293, 0.5288)
Cl (0.1060, 0.6839, 0.2603)
Cl (0.1795, 0.7398, 0.8868)
Cl (0.2293, 0.0828, 0.0288)
Cl (0.2602, 0.8205, 0.6132)
Cl (0.2687, 0.4449, 0.4477)
Cl (0.3161, 0.8940, 0.2397)
Cl (0.4449, 0.2687, 0.9477)
Cl (0.5551, 0.7313, 0.0523)
Cl (0.6839, 0.1060, 0.7603)
Cl (0.7313, 0.5551, 0.5523)
Cl (0.7398, 0.1795, 0.3868)
Cl (0.7707, 0.9172, 0.9712)
Cl (0.8205, 0.2602, 0.1132)
Cl (0.8940, 0.3161, 0.7397)
Cl (0.9172, 0.7707, 0.4712)

Values from the calculation:
* E_tot: -3.58 eV/atom
* E_form (uncorrected): -0.944 eV per atom
* V: 29.7 A^3/atom